(1)
Pu2Si3PdPt12: relaxed, PBE.

The structure in POSCAR format:
```
Pu2Si3PdPt12
1.0
4.126 2.382 5.877
-4.126 2.382 5.877
0.000 -4.764 5.877
Pu Si Pd Pt
2 3 1 12
Direct
0.111 0.111 0.111
0.889 0.889 0.889
0.000 0.500 0.500
0.500 0.000 0.500
0.500 0.500 0.000
0.500 0.500 0.500
0.115 0.641 0.641
0.141 0.141 0.606
0.141 0.606 0.141
0.359 0.359 0.885
0.359 0.885 0.359
0.394 0.859 0.859
0.606 0.141 0.141
0.641 0.115 0.641
0.641 0.641 0.115
0.859 0.394 0.859
0.859 0.859 0.394
0.885 0.359 0.359
```

- Final energy: -7.15 eV per atom
- Formation energy from raw total energies: -0.3341 eV per atom
- SG: R-3m, No. 166

---

(2)
SiMo2: relaxed, PBE.

The structure in POSCAR format:
```
SiMo2
1.0
4.652 -1.619 0.000
4.652 1.619 0.000
-1.509 0.000 6.024
Si Mo
2 4
Direct
0.000 0.000 0.000
0.735 0.735 0.398
0.059 0.059 0.599
0.355 0.355 0.719
0.431 0.431 0.260
0.699 0.699 0.971
```

- Final energy: -9.23 eV per atom
- Formation energy from raw total energies: -0.1998 eV per atom
- SG: Cm, No. 8

---

(3)
Sc2CdSbC: relaxed, PBE.

The structure in POSCAR format:
```
Sc2CdSbC
1.0
4.615 0.000 0.000
0.000 4.615 0.000
0.000 0.000 4.472
Sc Cd Sb C
2 1 1 1
Direct
0.000 0.500 0.000
0.500 0.000 0.000
0.000 0.000 0.500
0.500 0.500 0.500
0.000 0.000 0.000
```

- Final energy: -5.75 eV per atom
- Formation energy from raw total energies: -0.3652 eV per atom
- SG: P4/mmm, No. 123

---

(4)
NaTa2V: relaxed, PBE.

The structure in POSCAR format:
```
NaTa2V
1.0
-1.975 1.975 9.878
1.975 -1.975 9.878
1.975 1.975 -9.878
Na Ta V
2 4 2
Direct
0.000 0.000 0.000
0.750 0.250 0.500
0.141 0.625 0.016
0.375 0.391 0.516
0.609 0.125 0.984
0.875 0.859 0.484
0.250 0.750 0.500
0.500 0.500 0.000
```

- Final energy: -7.31 eV per atom
- Calculated formation energy: 1.23 eV/atom
- SG: I-42d, No. 122

---

(5)
YIrSe2: relaxed, PBE.

The structure in POSCAR format:
```
YIrSe2
1.0
-1.990 1.990 4.945
1.990 -1.990 4.945
1.990 1.990 -4.945
Y Ir Se
1 1 2
Direct
0.000 0.000 0.000
0.250 0.750 0.500
0.500 0.500 0.000
0.750 0.250 0.500
```

- Final energy: -6.06 eV per atom
- Formation energy from raw total energies: -0.4895 eV per atom
- SG: I-4m2, No. 119

---

(6)
Dy10Er4Tm: relaxed, PBE.

The structure in POSCAR format:
```
Dy10Er4Tm
1.0
-6.019 6.019 3.807
6.019 -6.019 3.807
6.019 6.019 -3.807
Dy Er Tm
10 4 1
Direct
0.050 0.151 0.700
0.151 0.451 0.101
0.250 0.750 0.500
0.350 0.050 0.899
0.451 0.350 0.300
0.549 0.650 0.700
0.650 0.950 0.101
0.750 0.250 0.500
0.849 0.549 0.899
0.950 0.849 0.300
0.100 0.299 0.400
0.299 0.900 0.199
0.701 0.100 0.801
0.900 0.701 0.600
0.500 0.500 0.000
```

- Final energy: -3.86 eV per atom
- Calculated formation energy: 0.72 eV/atom
- SG: I4/m, No. 87

---

(7)
KCa2Tl2: relaxed, PBE.

The structure in POSCAR format:
```
KCa2Tl2
1.0
-2.827 2.827 6.080
2.827 -2.827 6.080
2.827 2.827 -6.080
K Ca Tl
1 2 2
Direct
0.000 0.000 0.000
0.250 0.750 0.500
0.750 0.250 0.500
0.383 0.383 0.000
0.617 0.617 0.000
```

- Final energy: -2.10 eV per atom
- Calculated formation energy: -0.13 eV/atom
- SG: I4/mmm, No. 139

---

(8)
AlBi3Pb: relaxed, PBE.

The structure in POSCAR format:
```
AlBi3Pb
1.0
5.944 0.000 0.000
0.000 5.944 0.000
0.000 0.000 5.944
Al Bi Pb
1 3 1
Direct
0.000 0.000 0.000
0.000 0.500 0.500
0.500 0.000 0.500
0.500 0.500 0.000
0.500 0.500 0.500
```

- Final energy: -2.88 eV per atom
- Calculated formation energy: 0.94 eV/atom
- SG: Pm-3m, No. 221